Ho5Hg2Pd12 | PBE | optimized geometry

Summary:
Calculated density, g/cm³: 10.31
Symmetry: C2/m (12)
E, eV per cell: -95.67
Size of the total moment, μB/f.u.: 0.00
Energy relative to the elements, eV/atom: -0.519

Lattice parameters (Å, degrees): 5.590 8.763 9.616 114.08 90.00 108.60
Element x y z (fractional)
1 Ho 0.315 0.631 0.623
2 Ho 0.345 0.689 0.128
3 Ho 0.000 0.000 0.500
4 Ho 0.655 0.311 0.872
5 Ho 0.685 0.369 0.377
6 Hg 0.751 0.000 0.000
7 Hg 0.249 0.000 0.000
8 Pd 0.114 0.228 0.319
9 Pd 0.052 0.626 0.870
10 Pd 0.574 0.626 0.870
11 Pd 0.094 0.685 0.391
12 Pd 0.591 0.685 0.391
13 Pd 0.490 0.979 0.632
14 Pd 0.510 0.021 0.368
15 Pd 0.906 0.315 0.609
16 Pd 0.409 0.315 0.609
17 Pd 0.948 0.374 0.130
18 Pd 0.426 0.374 0.130
19 Pd 0.886 0.772 0.681

Cu4ReSb | PBE | optimized geometry

Summary:
Calculated density, g/cm³: 11.08
Symmetry: F-43m (216)
E, eV per cell: -30.30
Raw formation energy, eV/atom: 0.442
Size of the total moment, μB/f.u.: 1.22

Lattice parameters (Å, degrees): 4.921 4.921 4.921 60.00 60.00 60.00
Each line ends with the local moment (μB).
Element x y z (fractional)
1 Cu 0.873 0.376 0.376  0.06
2 Cu 0.376 0.376 0.873  0.06
3 Cu 0.376 0.873 0.376  0.06
4 Cu 0.376 0.376 0.376  0.06
5 Re 0.750 0.750 0.750  0.79
6 Sb 0.000 0.000 0.000  0.01

NaTi3Pd | PBE | optimized geometry

Summary:
Calculated density, g/cm³: 3.85
Symmetry: Pm-3m (221)
E, eV per cell: -26.89
Excess energy over the best structure of this formula in the dataset, meV per atom: 0
Size of the total moment, μB/f.u.: 2.52
Energy relative to the elements, eV/atom: 0.662

Lattice parameters (Å, degrees): 4.902 4.902 4.902 90.00 90.00 90.00
Each line ends with the local moment (μB).
Element x y z (fractional)
1 Na 0.500 0.500 0.500  0.00
2 Pd 0.000 0.000 0.000  0.00
3 Ti 0.000 0.500 0.000  0.55
4 Ti 0.000 0.000 0.500  0.31
5 Ti 0.500 0.000 0.000  1.00